Entry 1:
VASP calculation (PBE-GGA) on an optimized crystal structure of Cd6Ag5.

Summary:
* DFT formation energy: -0.031 eV/atom
* symmetry: C2/m
* calculated volume: 222 Å³ per cell
* total magnetic moment: 0.00 μB per cell

Unit cell a=8.867 b=7.758 c=4.627 alpha=72.57 beta=58.39 gamma=55.15
Fractional positions:
Cd 0.937 0.693 0.217
Cd 0.207 0.000 0.293
Cd 0.063 0.307 0.783
Cd 0.630 0.307 0.217
Cd 0.370 0.693 0.783
Cd 0.793 0.000 0.707
Ag 0.195 0.610 0.500
Ag 0.651 0.698 0.000
Ag 0.349 0.302 0.000
Ag 0.805 0.390 0.500
Ag 0.500 0.000 0.500


Entry 2:
VASP calculation (PBE-GGA) on an optimized crystal structure of GaCu2Sn.

Summary:
* relative energy among the computed polymorphs: 64 meV/atom
* DFT formation energy: 0.148 eV/atom
* symmetry: Fm-3m
* calculated volume: 68 Å³ per cell
* total magnetic moment: 0.00 μB per cell

Unit cell a=4.571 b=4.571 c=4.571 alpha=60.00 beta=60.00 gamma=60.00
Fractional positions:
Ga 0.000 0.000 0.000
Sn 0.500 0.500 0.500
Cu 0.750 0.750 0.750
Cu 0.250 0.250 0.250


Entry 3:
VASP calculation (PBE-GGA) on an optimized crystal structure of Mg2H4Pd.

Summary:
* relative energy among the computed polymorphs: 0 meV/atom
* symmetry: C2/m
* calculated volume: 74 Å³ per cell
* total magnetic moment: 0.00 μB per cell

Unit cell a=2.899 b=5.713 c=6.844 alpha=136.89 beta=102.23 gamma=90.00
Fractional positions:
H 0.144 0.766 0.287
H 0.856 0.234 0.713
H 0.628 0.188 0.257
H 0.372 0.812 0.743
Pd 0.000 0.000 0.000
Mg 0.293 0.310 0.586
Mg 0.707 0.690 0.414


Entry 4:
VASP calculation (PBE-GGA) on an optimized crystal structure of Nd2Al4Ni3Ir.

Summary:
* DFT formation energy: -0.630 eV/atom
* symmetry: P-4m2
* calculated volume: 176 Å³ per cell
* total magnetic moment: 0.00 μB per cell

Unit cell a=4.195 b=4.195 c=10.004 alpha=90.00 beta=90.00 gamma=90.00
Fractional positions:
Al 0.500 0.500 0.000
Al 0.000 0.500 0.371
Al 0.000 0.000 0.000
Al 0.500 0.000 0.629
Ni 0.000 0.000 0.500
Ni 0.500 0.000 0.871
Ni 0.000 0.500 0.129
Ir 0.500 0.500 0.500
Nd 0.500 0.000 0.252
Nd 0.000 0.500 0.748


| no. | total energy (eV/atom) |
| --- | --- |
| 1 | -1.83 |
| 2 | -3.66 |
| 3 | -3.24 |
| 4 | -5.70 |